Record 1
{
  "formula": "Ba2HoRh3O12",
  "functional": "GGA-PBE",
  "state": "optimized geometry",
  "sg": "R-3m (166)",
  "magnetic_moment_mub_per_atom": 0.10,
  "density_g_cm3": 6.1,
  "e_form_raw_mev_per_atom": -1363,
  "lattice_angstrom": [[3.655, 2.110, 5.540], [-3.655, 2.110, 5.540], [0.000, -4.221, 5.540]],
  "species": ["Ba", "Ba", "Ho", "Rh", "Rh", "Rh", "O", "O", "O", "O", "O", "O", "O", "O", "O", "O", "O", "O"],
  "fractional_positions": [[0.113, 0.113, 0.113], [0.887, 0.887, 0.887], [0.500, 0.500, 0.500], [0.000, 0.500, 0.500], [0.500, 0.000, 0.500], [0.500, 0.500, 0.000], [0.111, 0.619, 0.619], [0.199, 0.199, 0.616], [0.199, 0.616, 0.199], [0.381, 0.381, 0.889], [0.381, 0.889, 0.381], [0.384, 0.801, 0.801], [0.616, 0.199, 0.199], [0.619, 0.111, 0.619], [0.619, 0.619, 0.111], [0.801, 0.384, 0.801], [0.801, 0.801, 0.384], [0.889, 0.381, 0.381]]
}

Record 2
{
  "formula": "Ba2HoRuO6",
  "functional": "GGA-PBE",
  "state": "optimized geometry",
  "sg": "Fm-3m (225)",
  "magnetic_moment_mub_per_atom": 0.30,
  "density_g_cm3": 7.1,
  "e_form_raw_mev_per_atom": -2436,
  "lattice_angstrom": [[0.000, 4.213, 4.213], [4.213, 0.000, 4.213], [4.213, 4.213, 0.000]],
  "species": ["Ba", "Ba", "Ho", "Ru", "O", "O", "O", "O", "O", "O"],
  "fractional_positions": [[0.250, 0.250, 0.250], [0.750, 0.750, 0.750], [0.000, 0.000, 0.000], [0.500, 0.500, 0.500], [0.264, 0.264, 0.736], [0.264, 0.736, 0.264], [0.264, 0.736, 0.736], [0.736, 0.264, 0.264], [0.736, 0.264, 0.736], [0.736, 0.736, 0.264]]
}

Record 3
{
  "formula": "Ba4HoRu3O12",
  "functional": "GGA-PBE",
  "state": "optimized geometry",
  "sg": "R-3m (166)",
  "magnetic_moment_mub_per_atom": 0.14,
  "density_g_cm3": 6.7,
  "e_form_raw_mev_per_atom": -2105,
  "lattice_angstrom": [[2.970, 1.715, 9.816], [-2.970, 1.715, 9.816], [0.000, -3.429, 9.816]],
  "species": ["Ba", "Ba", "Ba", "Ba", "Ho", "Ru", "Ru", "Ru", "O", "O", "O", "O", "O", "O", "O", "O", "O", "O", "O", "O"],
  "fractional_positions": [[0.129, 0.129, 0.129], [0.286, 0.286, 0.286], [0.714, 0.714, 0.714], [0.871, 0.871, 0.871], [0.000, 0.000, 0.000], [0.413, 0.413, 0.413], [0.500, 0.500, 0.500], [0.587, 0.587, 0.587], [0.147, 0.613, 0.613], [0.218, 0.218, 0.693], [0.218, 0.693, 0.218], [0.307, 0.782, 0.782], [0.387, 0.387, 0.853], [0.387, 0.853, 0.387], [0.613, 0.147, 0.613], [0.613, 0.613, 0.147], [0.693, 0.218, 0.218], [0.782, 0.307, 0.782], [0.782, 0.782, 0.307], [0.853, 0.387, 0.387]]
}

Record 4
{
  "formula": "BaHoRu2O8",
  "functional": "GGA-PBE",
  "state": "optimized geometry",
  "sg": "P-3 (147)",
  "magnetic_moment_mub_per_atom": 0.25,
  "density_g_cm3": 4.6,
  "e_form_raw_mev_per_atom": -1680,
  "lattice_angstrom": [[5.894, 0.000, 0.000], [-2.947, 5.105, 0.000], [0.000, 0.000, 7.615]],
  "species": ["Ba", "Ho", "Ru", "Ru", "O", "O", "O", "O", "O", "O", "O", "O"],
  "fractional_positions": [[0.000, 0.000, 0.000], [0.000, 0.000, 0.500], [0.333, 0.667, 0.768], [0.667, 0.333, 0.232], [0.162, 0.326, 0.695], [0.165, 0.838, 0.695], [0.326, 0.165, 0.305], [0.333, 0.667, 0.003], [0.667, 0.333, 0.997], [0.674, 0.835, 0.695], [0.835, 0.162, 0.305], [0.838, 0.674, 0.305]]
}

Record 5
{
  "formula": "Ba2HoRu3O12",
  "functional": "GGA-PBE",
  "state": "optimized geometry",
  "sg": "R-3m (166)",
  "magnetic_moment_mub_per_atom": 0.08,
  "density_g_cm3": 5.9,
  "e_form_raw_mev_per_atom": -1621,
  "lattice_angstrom": [[3.654, 2.110, 5.689], [-3.654, 2.110, 5.689], [0.000, -4.220, 5.689]],
  "species": ["Ba", "Ba", "Ho", "Ru", "Ru", "Ru", "O", "O", "O", "O", "O", "O", "O", "O", "O", "O", "O", "O"],
  "fractional_positions": [[0.124, 0.124, 0.124], [0.876, 0.876, 0.876], [0.500, 0.500, 0.500], [0.000, 0.500, 0.500], [0.500, 0.000, 0.500], [0.500, 0.500, 0.000], [0.112, 0.614, 0.614], [0.207, 0.207, 0.592], [0.207, 0.592, 0.207], [0.386, 0.386, 0.888], [0.386, 0.888, 0.386], [0.408, 0.793, 0.793], [0.592, 0.207, 0.207], [0.614, 0.112, 0.614], [0.614, 0.614, 0.112], [0.793, 0.408, 0.793], [0.793, 0.793, 0.408], [0.888, 0.386, 0.386]]
}

Record 6
{
  "formula": "BaHoS2O8",
  "functional": "GGA-PBE",
  "state": "optimized geometry",
  "sg": "P-3 (147)",
  "magnetic_moment_mub_per_atom": 0.04,
  "density_g_cm3": 4.2,
  "e_form_raw_mev_per_atom": -2034,
  "lattice_angstrom": [[5.213, 0.000, 0.000], [-2.607, 4.515, 0.000], [0.000, 0.000, 8.287]],
  "species": ["Ba", "Ho", "S", "S", "O", "O", "O", "O", "O", "O", "O", "O"],
  "fractional_positions": [[0.000, 0.000, 0.000], [0.000, 0.000, 0.500], [0.333, 0.667, 0.764], [0.667, 0.333, 0.236], [0.176, 0.354, 0.706], [0.178, 0.824, 0.706], [0.333, 0.667, 0.943], [0.354, 0.178, 0.294], [0.646, 0.822, 0.706], [0.667, 0.333, 0.057], [0.822, 0.176, 0.294], [0.824, 0.646, 0.294]]
}

Record 7
{
  "formula": "Ba2HoSbO6",
  "functional": "GGA-PBE",
  "state": "optimized geometry",
  "sg": "R-3 (148)",
  "magnetic_moment_mub_per_atom": 0.00,
  "density_g_cm3": 7.1,
  "e_form_raw_mev_per_atom": -2683,
  "lattice_angstrom": [[3.006, 1.735, 4.909], [-3.006, 1.735, 4.909], [0.000, -3.471, 4.909]],
  "species": ["Ba", "Ba", "Ho", "Sb", "O", "O", "O", "O", "O", "O"],
  "fractional_positions": [[0.250, 0.250, 0.250], [0.750, 0.750, 0.750], [0.000, 0.000, 0.000], [0.500, 0.500, 0.500], [0.261, 0.264, 0.737], [0.263, 0.739, 0.736], [0.264, 0.737, 0.261], [0.736, 0.263, 0.739], [0.737, 0.261, 0.264], [0.739, 0.736, 0.263]]
}

Record 8
{
  "formula": "Ba3HoSb2O8",
  "functional": "GGA-PBE",
  "state": "optimized geometry",
  "sg": "P-3m1 (164)",
  "magnetic_moment_mub_per_atom": 0.05,
  "density_g_cm3": 6.0,
  "e_form_raw_mev_per_atom": -2167,
  "lattice_angstrom": [[6.154, 0.000, 0.000], [-3.077, 5.330, 0.000], [0.000, 0.000, 8.070]],
  "species": ["Ba", "Ba", "Ba", "Ho", "Sb", "Sb", "O", "O", "O", "O", "O", "O", "O", "O"],
  "fractional_positions": [[0.000, 0.000, 0.000], [0.333, 0.667, 0.638], [0.667, 0.333, 0.362], [0.000, 0.000, 0.500], [0.333, 0.667, 0.199], [0.667, 0.333, 0.801], [0.168, 0.335, 0.332], [0.168, 0.832, 0.332], [0.333, 0.667, 0.942], [0.335, 0.168, 0.668], [0.665, 0.832, 0.332], [0.667, 0.333, 0.058], [0.832, 0.168, 0.668], [0.832, 0.665, 0.668]]
}